ScTaO2: relaxed, PBEsol. Values from VASP.

Cell and atoms, written as Quantum ESPRESSO input:
```
&SYSTEM
  ibrav = 0, nat = 8, ntyp = 3
/
ATOMIC_SPECIES
Sc 44.96 Sc.upf
O 16.00 O.upf
Ta 180.95 Ta.upf
CELL_PARAMETERS angstrom
-2.198 0.979 4.228
-1.868 -4.491 0.069
5.758 0.241 0.139
ATOMIC_POSITIONS crystal
Sc 0.750 0.250 0.500
Sc 0.500 0.500 0.000
O 0.872 0.375 0.250
O 0.378 0.875 0.250
O 0.625 0.622 0.750
O 0.125 0.128 0.750
Ta 0.250 0.750 0.500
Ta 0.000 0.000 0.000
```

Results
uncorrected formation energy	-1.9333	eV/atom
space group	I-42d (122)